No. 1
Computed, not measured: a relaxed AgOsSe2 crystal at the PBE-GGA level of DFT.

The structure in POSCAR format:
```
AgOsSe2
1.0
1.870 1.079 7.638
-1.870 1.079 7.638
0.000 -2.159 7.638
Ag Os Se
1 1 2
Cartesian
0.000 0.000 0.000
0.000 0.000 11.458
0.000 0.000 2.543
0.000 0.000 20.372
```

Results
**Energy relative to the lowest polymorph listed for this composition**: 0.030 eV/atom
**Space-group type**: R-3m (166)
**Fermi-level density of states**: 5.45 states/eV/f.u.


No. 2
Computed, not measured: a relaxed AgOsSe crystal at the PBE-GGA level of DFT.

The structure in POSCAR format:
```
AgOsSe
1.0
4.206 0.000 0.000
-2.103 3.642 0.000
0.000 0.000 3.432
Ag Os Se
1 1 1
Cartesian
0.000 0.000 0.000
2.103 1.214 1.716
0.000 2.428 1.716
```

Results
**Energy relative to the lowest polymorph listed for this composition**: 0.274 eV/atom
**Space-group type**: P-6m2 (187)
**Fermi-level density of states**: 2.07 states/eV/f.u.


No. 3
Computed, not measured: a relaxed AgOsSe2 crystal at the PBE-GGA level of DFT.

The structure in POSCAR format:
```
AgOsSe2
1.0
1.454 -2.573 0.000
1.454 2.573 0.000
0.000 0.000 10.503
Ag Os Se
1 1 2
Cartesian
0.000 0.000 0.000
0.000 0.000 5.251
1.454 0.000 3.162
1.454 0.000 7.341
```

Results
**Energy relative to the lowest polymorph listed for this composition**: 0.435 eV/atom
**Space-group type**: Cmmm (65)
**Fermi-level density of states**: 2.95 states/eV/f.u.


| no. | ΔE_f (raw) (eV/atom) | density (Mg/m³) |
| --- | --- | --- |
| 1 | 0.1359 | 8.2 |
| 2 | 0.6783 | 11.9 |
| 3 | 0.5404 | 9.6 |